i.
{"formula": "ZrSnNO", "functional": "PBE", "state": "relaxed", "lattice": [[3.654, 0.000, 0.000], [0.000, 6.762, 0.000], [0.000, 0.000, 6.067]], "species": ["Zr", "Zr", "Sn", "Sn", "N", "N", "O", "O"], "fractional_positions": [[0.000, 0.185, 0.000], [0.000, 0.815, 0.500], [0.500, 0.349, 0.564], [0.500, 0.651, 0.064], [0.500, 0.334, 0.966], [0.500, 0.666, 0.466], [0.000, 0.026, 0.274], [0.000, 0.974, 0.774]]}

ii.
{"formula": "ZrSnNO", "functional": "PBE", "state": "relaxed", "lattice": [[3.682, 0.000, 0.000], [0.000, 7.044, 0.000], [0.000, 0.000, 5.261]], "species": ["Zr", "Zr", "Sn", "Sn", "N", "N", "O", "O"], "fractional_positions": [[0.000, 0.143, 0.000], [0.000, 0.857, 0.500], [0.500, 0.372, 0.478], [0.500, 0.628, 0.978], [0.000, 0.143, 0.397], [0.000, 0.857, 0.897], [0.500, 0.202, 0.856], [0.500, 0.798, 0.356]]}

Which one sits at the top of the stability order? i does.

i.
{"formula": "PmZr", "functional": "PBE", "state": "relaxed", "lattice": [[3.362, 0.000, 0.000], [0.000, 5.450, 0.000], [0.000, 0.000, 12.298]], "species": ["Pm", "Pm", "Pm", "Pm", "Zr", "Zr", "Zr", "Zr"], "fractional_positions": [[0.250, 0.250, 0.062], [0.250, 0.750, 0.225], [0.750, 0.250, 0.775], [0.750, 0.750, 0.938], [0.250, 0.250, 0.534], [0.250, 0.750, 0.679], [0.750, 0.250, 0.321], [0.750, 0.750, 0.466]]}

ii.
{"formula": "PmZr", "functional": "PBE", "state": "relaxed", "lattice": [[6.794, 0.000, 0.000], [0.000, 5.471, 0.000], [-1.709, 0.000, 9.080]], "species": ["Pm", "Pm", "Pm", "Pm", "Pm", "Pm", "Zr", "Zr", "Zr", "Zr", "Zr", "Zr"], "fractional_positions": [[0.023, 0.250, 0.117], [0.310, 0.750, 0.246], [0.463, 0.750, 0.876], [0.537, 0.250, 0.124], [0.690, 0.250, 0.754], [0.977, 0.750, 0.883], [0.128, 0.750, 0.554], [0.181, 0.250, 0.745], [0.353, 0.250, 0.459], [0.647, 0.750, 0.541], [0.819, 0.750, 0.255], [0.872, 0.250, 0.446]]}

Which one sits at the top of the stability order? i does.

i.
{"formula": "BaCuBiPt", "functional": "PBE", "state": "relaxed", "lattice": [[0.000, 3.709, 3.709], [3.709, 0.000, 3.709], [3.709, 3.709, 0.000]], "species": ["Ba", "Cu", "Bi", "Pt"], "fractional_positions": [[0.000, 0.000, 0.000], [0.500, 0.500, 0.500], [0.250, 0.250, 0.250], [0.750, 0.750, 0.750]]}

ii.
{"formula": "BaCuBiPt", "functional": "PBE", "state": "relaxed", "lattice": [[0.000, 3.667, 3.667], [3.667, 0.000, 3.667], [3.667, 3.667, 0.000]], "species": ["Ba", "Cu", "Bi", "Pt"], "fractional_positions": [[0.000, 0.000, 0.000], [0.750, 0.750, 0.750], [0.500, 0.500, 0.500], [0.250, 0.250, 0.250]]}

Which one sits at the top of the stability order? ii does.

i.
{"formula": "Cu5Ag4", "functional": "PBE", "state": "relaxed", "lattice": [[4.570, -1.401, 0.000], [4.570, 1.401, 0.000], [-4.454, 0.000, 10.254]], "species": ["Cu", "Cu", "Cu", "Cu", "Cu", "Ag", "Ag", "Ag", "Ag"], "fractional_positions": [[0.000, 0.000, 0.000], [0.325, 0.325, 0.446], [0.335, 0.335, 0.097], [0.665, 0.665, 0.903], [0.675, 0.675, 0.554], [0.002, 0.002, 0.662], [0.332, 0.332, 0.788], [0.668, 0.668, 0.212], [0.998, 0.998, 0.338]]}

ii.
{"formula": "Cu5Ag4", "functional": "PBE", "state": "relaxed", "lattice": [[4.376, -1.904, 0.000], [4.376, 1.904, 0.000], [-2.635, 0.000, 7.832]], "species": ["Cu", "Cu", "Cu", "Cu", "Cu", "Ag", "Ag", "Ag", "Ag"], "fractional_positions": [[0.000, 0.000, 0.000], [0.001, 0.001, 0.325], [0.009, 0.009, 0.682], [0.346, 0.346, 0.110], [0.352, 0.352, 0.794], [0.350, 0.350, 0.450], [0.668, 0.668, 0.221], [0.676, 0.676, 0.895], [0.680, 0.680, 0.567]]}

iii.
{"formula": "Cu5Ag4", "functional": "PBE", "state": "relaxed", "lattice": [[-1.383, 1.866, 12.637], [1.383, -1.866, 12.637], [1.383, 1.866, -12.637]], "species": ["Cu", "Cu", "Cu", "Cu", "Cu", "Ag", "Ag", "Ag", "Ag"], "fractional_positions": [[0.000, 0.000, 0.000], [0.226, 0.226, 0.000], [0.323, 0.323, 0.000], [0.677, 0.677, 0.000], [0.774, 0.774, 0.000], [0.121, 0.121, 0.000], [0.444, 0.444, 0.000], [0.556, 0.556, 0.000], [0.879, 0.879, 0.000]]}

Which one sits at the top of the stability order? iii does.

i.
{"formula": "Cu5Ag4", "functional": "PBE", "state": "relaxed", "lattice": [[4.696, -1.412, 0.000], [4.696, 1.412, 0.000], [-4.026, 0.000, 9.876]], "species": ["Cu", "Cu", "Cu", "Cu", "Cu", "Ag", "Ag", "Ag", "Ag"], "fractional_positions": [[0.000, 0.000, 0.000], [0.017, 0.017, 0.336], [0.320, 0.320, 0.817], [0.371, 0.371, 0.124], [0.688, 0.688, 0.938], [0.004, 0.004, 0.720], [0.352, 0.352, 0.458], [0.673, 0.673, 0.580], [0.684, 0.684, 0.215]]}

ii.
{"formula": "Cu5Ag4", "functional": "PBE", "state": "relaxed", "lattice": [[-1.387, 1.868, 12.613], [1.387, -1.868, 12.613], [1.387, 1.868, -12.613]], "species": ["Cu", "Cu", "Cu", "Cu", "Cu", "Ag", "Ag", "Ag", "Ag"], "fractional_positions": [[0.000, 0.000, 0.000], [0.226, 0.226, 0.000], [0.451, 0.451, 0.000], [0.549, 0.549, 0.000], [0.774, 0.774, 0.000], [0.105, 0.105, 0.000], [0.330, 0.330, 0.000], [0.670, 0.670, 0.000], [0.895, 0.895, 0.000]]}

Which one sits at the top of the stability order? i does.

i.
{"formula": "NaDyAsO", "functional": "PBE", "state": "relaxed", "lattice": [[5.701, 0.000, 0.000], [0.000, 5.701, 0.000], [0.000, 0.000, 4.937]], "species": ["Na", "Na", "Dy", "Dy", "As", "As", "O", "O"], "fractional_positions": [[0.250, 0.250, 0.001], [0.750, 0.750, 0.999], [0.250, 0.750, 0.500], [0.750, 0.250, 0.500], [0.250, 0.250, 0.501], [0.750, 0.750, 0.499], [0.250, 0.750, 0.000], [0.750, 0.250, 0.000]]}

ii.
{"formula": "NaDyAsO", "functional": "PBE", "state": "relaxed", "lattice": [[3.888, 0.000, 0.000], [0.000, 3.888, 0.000], [0.000, 0.000, 10.370]], "species": ["Na", "Na", "Dy", "Dy", "As", "As", "O", "O"], "fractional_positions": [[0.250, 0.750, 0.000], [0.750, 0.250, 0.000], [0.250, 0.250, 0.393], [0.750, 0.750, 0.607], [0.250, 0.250, 0.789], [0.750, 0.750, 0.211], [0.250, 0.750, 0.500], [0.750, 0.250, 0.500]]}

Which one sits at the top of the stability order? ii does.

i.
{"formula": "RbGaAu", "functional": "PBE", "state": "relaxed", "lattice": [[0.000, 3.715, 3.715], [3.715, 0.000, 3.715], [3.715, 3.715, 0.000]], "species": ["Rb", "Ga", "Au"], "fractional_positions": [[0.000, 0.000, 0.000], [0.500, 0.500, 0.500], [0.750, 0.750, 0.750]]}

ii.
{"formula": "RbGaAu", "functional": "PBE", "state": "relaxed", "lattice": [[4.812, 0.000, 0.000], [0.000, 4.813, 0.000], [0.000, 0.000, 7.816]], "species": ["Rb", "Rb", "Ga", "Ga", "Au", "Au"], "fractional_positions": [[0.250, 0.250, 0.149], [0.750, 0.750, 0.851], [0.250, 0.750, 0.499], [0.750, 0.250, 0.501], [0.250, 0.250, 0.648], [0.750, 0.750, 0.352]]}

Which one sits at the top of the stability order? ii does.

i.
{"formula": "HgPtNO", "functional": "PBE", "state": "relaxed", "lattice": [[4.205, 0.000, 0.000], [0.000, 4.205, 0.000], [0.000, 0.000, 7.403]], "species": ["Hg", "Hg", "Pt", "Pt", "N", "N", "O", "O"], "fractional_positions": [[0.250, 0.750, 0.000], [0.750, 0.250, 0.000], [0.250, 0.250, 0.428], [0.750, 0.750, 0.572], [0.250, 0.250, 0.166], [0.750, 0.750, 0.834], [0.250, 0.750, 0.500], [0.750, 0.250, 0.500]]}

ii.
{"formula": "HgPtNO", "functional": "PBE", "state": "relaxed", "lattice": [[4.356, 0.000, 0.000], [0.000, 4.356, 0.000], [0.000, 0.000, 6.374]], "species": ["Hg", "Hg", "Pt", "Pt", "N", "N", "O", "O"], "fractional_positions": [[0.250, 0.750, 0.000], [0.750, 0.250, 0.000], [0.250, 0.250, 0.459], [0.750, 0.750, 0.541], [0.250, 0.250, 0.154], [0.750, 0.750, 0.846], [0.250, 0.750, 0.500], [0.750, 0.250, 0.500]]}

Which one sits at the top of the stability order? ii does.